(1)
Density functional theory data (PBE) for a geometry-optimized BiHPd5 structure.

Unit cell a=6.2238 b=6.2238 c=7.3054 alpha=114.38 beta=114.38 gamma=89.40
Fractional coordinates of all 14 atoms:
Bi: 0.0847 0.9153 0.7500
Bi: 0.9153 0.0847 0.2500
H: 0.0000 0.5000 0.0000
H: 0.5000 0.0000 0.5000
Pd: 0.1033 0.3776 0.7803
Pd: 0.2535 0.5097 0.5214
Pd: 0.3537 0.6463 0.2500
Pd: 0.3776 0.1033 0.2803
Pd: 0.4904 0.7465 0.9786
Pd: 0.5097 0.2535 0.0214
Pd: 0.6224 0.8967 0.7197
Pd: 0.6463 0.3537 0.7500
Pd: 0.7465 0.4904 0.4786
Pd: 0.8967 0.6224 0.2197

Calculated values
total moment: 0.000 Bohr magnetons per cell
VASP energy: -4.765 eV/atom

---

(2)
Density functional theory data (PBE) for a geometry-optimized ScMn2Mo structure.

Unit cell a=2.7443 b=2.7443 c=8.2568 alpha=90.00 beta=90.00 gamma=109.87
Fractional coordinates of all 4 atoms:
Sc: 0.0000 0.0000 0.0000
Mn: 0.5000 0.5000 0.2654
Mn: 0.5000 0.5000 0.7346
Mo: 0.0000 0.0000 0.5000

Calculated values
total moment: 1.717 Bohr magnetons per cell
energy of formation: 267 meV/atom

---

(3)
Density functional theory data (PBE) for a geometry-optimized La3MgO structure.

Unit cell a=8.1938 b=8.1938 c=5.0978 alpha=90.00 beta=90.00 gamma=127.20
Fractional coordinates of all 10 atoms:
La: 0.0000 0.5000 0.5000
La: 0.1294 0.8706 0.0000
La: 0.2404 0.2404 0.5000
La: 0.5000 0.0000 0.5000
La: 0.7596 0.7596 0.5000
La: 0.8706 0.1294 0.0000
Mg: 0.3780 0.6220 0.0000
Mg: 0.6220 0.3780 0.0000
O: 0.1291 0.8709 0.5000
O: 0.8709 0.1291 0.5000

Calculated values
total moment: 0.000 Bohr magnetons per cell
formation energy from raw total energies: -1.162 eV/atom
excess energy over the best structure of this formula in the dataset: 46 meV/atom

---

> What is the total moment in the third record?

0.000 Bohr magnetons per cell

---

Copy entry 3 word for word.
Density functional theory data (PBE) for a geometry-optimized La3MgO structure.

Unit cell a=8.1938 b=8.1938 c=5.0978 alpha=90.00 beta=90.00 gamma=127.20
Fractional coordinates of all 10 atoms:
La: 0.0000 0.5000 0.5000
La: 0.1294 0.8706 0.0000
La: 0.2404 0.2404 0.5000
La: 0.5000 0.0000 0.5000
La: 0.7596 0.7596 0.5000
La: 0.8706 0.1294 0.0000
Mg: 0.3780 0.6220 0.0000
Mg: 0.6220 0.3780 0.0000
O: 0.1291 0.8709 0.5000
O: 0.8709 0.1291 0.5000

Calculated values
total moment: 0.000 Bohr magnetons per cell
formation energy from raw total energies: -1.162 eV/atom
excess energy over the best structure of this formula in the dataset: 46 meV/atom